1.
SrAl3Tc: relaxed, PBE-GGA.

```
SrAl3Tc
1.0
9.551 0.017 -0.001
1.457 5.062 0.002
-0.019 2.692 4.527
Sr Al Tc
2 6 2
direct
0.870 0.086 0.240
0.132 0.579 0.995
0.501 0.332 0.118
0.257 0.823 0.364
0.745 0.499 0.528
0.501 0.832 0.618
0.258 0.166 0.708
0.746 0.841 0.871
0.501 0.832 0.118
0.501 0.332 0.618
```

Properties
energy of formation from the pure elements	-211	meV per atom
energy relative to the lowest polymorph listed for this composition	54	kJ/mol of formula units
total magnetic moment	0.000	μB per cell
volume	21.87	A^3/atom
SG	C2/m

---

2.
SrTaTe2: relaxed, PBE-GGA.

```
SrTaTe2
1.0
5.372 0.000 0.000
0.000 3.940 0.001
0.000 1.974 5.505
Sr Ta Te
1 1 2
direct
0.000 0.594 0.437
0.500 0.863 0.899
0.000 0.874 0.876
0.500 0.169 0.287
```

Properties
energy relative to the lowest polymorph listed for this composition	42	kJ/mol of formula units
total magnetic moment	0.000	μB per cell
energy relative to the elements, uncorrected	-0.36	eV per atom
volume	29.13	A^3/atom
SG	Amm2